## Cs2LaAg2I6 (GGA-PBE)

Data for an optimized crystal structure of Cs2LaAg2I6.

Values from the calculation:
Space group   C2/m (12)
Energy relative to the elements, uncorrected   -1029 meV per atom

Cell lengths 8.418, 8.418, 9.123 Å; angles 110.81, 110.81, 68.14 degrees
Atoms (fractional coordinates):
Cs1 0.217 0.217 0.172
Cs2 0.783 0.783 0.828
La1 0.000 0.000 0.500
Ag1 0.462 0.462 0.617
Ag2 0.538 0.538 0.383
I1 0.191 0.736 0.221
I2 0.248 0.248 0.616
I3 0.264 0.809 0.779
I4 0.736 0.191 0.221
I5 0.752 0.752 0.384
I6 0.809 0.264 0.779

## NaS2Br (GGA-PBE)

Data for an optimized crystal structure of NaS2Br.

Values from the calculation:
Energy relative to the lowest polymorph listed for this composition   0.000 eV/atom
Space group   R-3m (166)
Energy relative to the elements, uncorrected   101 meV per atom

Cell lengths 8.680, 8.680, 8.680 Å; angles 24.82, 24.82, 24.82 degrees
Atoms (fractional coordinates):
Na1 0.000 0.000 0.000
S1 0.407 0.407 0.407
S2 0.593 0.593 0.593
Br1 0.500 0.500 0.500

## La4AsOs (GGA-PBE)

Data for an optimized crystal structure of La4AsOs.

Values from the calculation:
Space group   F-43m (216)
Formation enthalpy at 0 K   638.6 meV per atom

Cell lengths 6.143, 6.143, 6.143 Å; angles 60.00, 60.00, 60.00 degrees
Atoms (fractional coordinates):
La1 0.125 0.125 0.125
La2 0.125 0.125 0.626
La3 0.125 0.626 0.125
La4 0.626 0.125 0.125
As1 0.500 0.500 0.500
Os1 0.750 0.750 0.750

## Zr3Zn3Cu2 (GGA-PBE)

Data for an optimized crystal structure of Zr3Zn3Cu2.

Values from the calculation:
Space group   P-62m (189)
Formation enthalpy at 0 K   -160.5 meV per atom

Cell lengths 6.707, 6.707, 3.618 Å; angles 90.00, 90.00, 120.00 degrees
Atoms (fractional coordinates):
Zr1 0.000 0.397 0.000
Zr2 0.397 0.000 0.000
Zr3 0.603 0.603 0.000
Zn1 0.000 0.764 0.500
Zn2 0.236 0.236 0.500
Zn3 0.764 0.000 0.500
Cu1 0.333 0.667 0.500
Cu2 0.667 0.333 0.500

## Re2SnTe (GGA-PBE)

Data for an optimized crystal structure of Re2SnTe.

Values from the calculation:
Energy relative to the lowest polymorph listed for this composition   0.000 eV/atom
Space group   Fm-3m (225)
Energy relative to the elements, uncorrected   718 meV per atom

Cell lengths 4.640, 4.640, 4.640 Å; angles 60.00, 60.00, 60.00 degrees
Atoms (fractional coordinates):
Re1 0.250 0.250 0.250
Re2 0.750 0.750 0.750
Sn1 0.000 0.000 0.000
Te1 0.500 0.500 0.500

## Er8HgRh2 (GGA-PBE)

Data for an optimized crystal structure of Er8HgRh2.

Values from the calculation:
Space group   C2/m (12)
Formation enthalpy at 0 K   -383.0 meV per atom

Cell lengths 7.827, 7.827, 5.433 Å; angles 97.86, 97.86, 114.02 degrees
Atoms (fractional coordinates):
Er1 0.074 0.331 0.581
Er2 0.242 0.758 0.000
Er3 0.331 0.074 0.581
Er4 0.383 0.383 0.193
Er5 0.617 0.617 0.807
Er6 0.669 0.926 0.419
Er7 0.758 0.242 0.000
Er8 0.926 0.669 0.419
Hg1 0.000 0.000 0.000
Rh1 0.305 0.695 0.500
Rh2 0.695 0.305 0.500

## PmDyTmZn (GGA-PBE)

Data for an optimized crystal structure of PmDyTmZn.

Values from the calculation:
Energy relative to the lowest polymorph listed for this composition   0.191 eV/atom
Space group   F-43m (216)
Formation enthalpy at 0 K   26.1 meV per atom

Cell lengths 5.351, 5.351, 5.351 Å; angles 60.00, 60.00, 60.00 degrees
Atoms (fractional coordinates):
Pm1 0.000 0.000 0.000
Dy1 0.500 0.500 0.500
Tm1 0.250 0.250 0.250
Zn1 0.750 0.750 0.750

## LaErZnPt (GGA-PBE)

Data for an optimized crystal structure of LaErZnPt.

Values from the calculation:
Space group   F-43m (216)
Formation enthalpy at 0 K   -717.0 meV per atom

Cell lengths 5.100, 5.100, 5.100 Å; angles 60.00, 60.00, 60.00 degrees
Atoms (fractional coordinates):
La1 0.000 0.000 0.000
Er1 0.500 0.500 0.500
Zn1 0.750 0.750 0.750
Pt1 0.250 0.250 0.250

## HoGeRh2 (GGA-PBE)

Data for an optimized crystal structure of HoGeRh2.

Values from the calculation:
Space group   R-3m (166)
Formation enthalpy at 0 K   -882.5 meV per atom

Cell lengths 8.445, 8.445, 8.445 Å; angles 38.37, 38.37, 38.37 degrees
Atoms (fractional coordinates):
Ho1 0.000 0.000 0.000
Ho2 0.140 0.140 0.140
Ho3 0.860 0.860 0.860
Ge1 0.334 0.334 0.334
Ge2 0.500 0.500 0.500
Ge3 0.666 0.666 0.666
Rh1 0.079 0.583 0.583
Rh2 0.417 0.417 0.921
Rh3 0.417 0.921 0.417
Rh4 0.583 0.079 0.583
Rh5 0.583 0.583 0.079
Rh6 0.921 0.417 0.417

## UFeP2Ru2 (GGA-PBE)

Data for an optimized crystal structure of UFeP2Ru2.

Values from the calculation:
Space group   Pmc2_1 (26)
Formation enthalpy at 0 K   -613.7 meV per atom

Cell lengths 3.772, 6.331, 7.478 Å; angles 90.00, 90.00, 90.00 degrees
Atoms (fractional coordinates):
U1 0.000 0.144 0.000
U2 0.000 0.856 0.500
Fe1 0.500 0.148 0.391
Fe2 0.500 0.852 0.891
P1 0.000 0.348 0.312
P2 0.000 0.652 0.812
P3 0.500 0.126 0.699
P4 0.500 0.874 0.199
Ru1 0.000 0.343 0.619
Ru2 0.000 0.657 0.119
Ru3 0.500 0.433 0.884
Ru4 0.500 0.567 0.384

## Pm2PrPuSe4 (GGA-PBE)

Data for an optimized crystal structure of Pm2PrPuSe4.

Values from the calculation:
Space group   P2/m (10)
Energy relative to the elements, uncorrected   -1775 meV per atom

Cell lengths 7.284, 4.182, 7.292 Å; angles 90.00, 109.20, 90.00 degrees
Atoms (fractional coordinates):
Pm1 0.000 0.000 0.000
Pm2 0.000 0.500 0.500
Pr1 0.500 0.000 0.500
Pu1 0.500 0.500 0.000
Se1 0.248 0.500 0.245
Se2 0.251 0.000 0.755
Se3 0.749 0.000 0.245
Se4 0.752 0.500 0.755

## FeSiNi2 (GGA-PBE)

Data for an optimized crystal structure of FeSiNi2.

Values from the calculation:
Space group   P4/mmm (123)
Energy relative to the elements, uncorrected   -248 meV per atom

Cell lengths 2.698, 2.698, 6.226 Å; angles 90.00, 90.00, 90.00 degrees
Atoms (fractional coordinates):
Fe1 0.000 0.000 0.000
Si1 0.000 0.000 0.500
Ni1 0.500 0.500 0.278
Ni2 0.500 0.500 0.722

## Pa2MnAg (GGA-PBE)

Data for an optimized crystal structure of Pa2MnAg.

Values from the calculation:
Energy relative to the lowest polymorph listed for this composition   0.137 eV/atom
Space group   R-3m (166)
Formation enthalpy at 0 K   185.7 meV per atom

Cell lengths 7.903, 7.903, 7.903 Å; angles 27.22, 27.22, 27.22 degrees
Atoms (fractional coordinates):
Pa1 0.231 0.231 0.231
Pa2 0.769 0.769 0.769
Mn1 0.500 0.500 0.500
Ag1 0.000 0.000 0.000

## AcCeTeO6 (GGA-PBE)

Data for an optimized crystal structure of AcCeTeO6.

Values from the calculation:
Space group   P-31c (163)
Energy relative to the elements, uncorrected   -2422 meV per atom

Cell lengths 5.802, 5.802, 10.358 Å; angles 90.00, 90.00, 120.00 degrees
Atoms (fractional coordinates):
Ac1 0.000 0.000 0.000
Ac2 0.000 0.000 0.500
Ce1 0.333 0.667 0.250
Ce2 0.667 0.333 0.750
Te1 0.333 0.667 0.750
Te2 0.667 0.333 0.250
O1 0.032 0.377 0.642
O2 0.032 0.655 0.858
O3 0.345 0.377 0.858
O4 0.345 0.968 0.642
O5 0.377 0.032 0.142
O6 0.377 0.345 0.358
O7 0.623 0.655 0.642
O8 0.623 0.968 0.858
O9 0.655 0.032 0.358
O10 0.655 0.623 0.142
O11 0.968 0.345 0.142
O12 0.968 0.623 0.358

## TlWCl (GGA-PBE)

Data for an optimized crystal structure of TlWCl.

Values from the calculation:
Energy relative to the lowest polymorph listed for this composition   1.352 eV/atom
Space group   F-43m (216)
Energy relative to the elements, uncorrected   1739 meV per atom

Cell lengths 5.007, 5.007, 5.007 Å; angles 60.00, 60.00, 60.00 degrees
Atoms (fractional coordinates):
Tl1 0.000 0.000 0.000
W1 0.250 0.250 0.250
Cl1 0.750 0.750 0.750

## MgAl8Ir2 (GGA-PBE)

Data for an optimized crystal structure of MgAl8Ir2.

Values from the calculation:
Space group   C2/m (12)
Formation enthalpy at 0 K   -342.0 meV per atom

Cell lengths 7.341, 7.341, 6.333 Å; angles 104.51, 104.51, 30.97 degrees
Atoms (fractional coordinates):
Mg1 0.000 0.000 0.000
Al1 0.089 0.089 0.448
Al2 0.183 0.183 0.918
Al3 0.273 0.273 0.372
Al4 0.453 0.453 0.258
Al5 0.547 0.547 0.742
Al6 0.727 0.727 0.628
Al7 0.817 0.817 0.082
Al8 0.911 0.911 0.552
Ir1 0.351 0.351 0.813
Ir2 0.649 0.649 0.187

## LaPrTmPu (GGA-PBE)

Data for an optimized crystal structure of LaPrTmPu.

Values from the calculation:
Space group   F-43m (216)
Formation enthalpy at 0 K   204.8 meV per atom

Cell lengths 5.705, 5.705, 5.705 Å; angles 60.00, 60.00, 60.00 degrees
Atoms (fractional coordinates):
La1 0.000 0.000 0.000
Pr1 0.500 0.500 0.500
Tm1 0.250 0.250 0.250
Pu1 0.750 0.750 0.750

## Cs3Na3ZnF8 (GGA-PBE)

Data for an optimized crystal structure of Cs3Na3ZnF8.

Values from the calculation:
Space group   R-3m (166)
Energy relative to the elements, uncorrected   -2554 meV per atom

Cell lengths 7.807, 7.807, 7.807 Å; angles 54.87, 54.87, 54.87 degrees
Atoms (fractional coordinates):
Cs1 0.000 0.500 0.500
Cs2 0.500 0.000 0.500
Cs3 0.500 0.500 0.000
Na1 0.000 0.000 0.500
Na2 0.000 0.500 0.000
Na3 0.500 0.000 0.000
Zn1 0.500 0.500 0.500
F1 0.227 0.227 0.227
F2 0.268 0.701 0.701
F3 0.299 0.299 0.732
F4 0.299 0.732 0.299
F5 0.701 0.268 0.701
F6 0.701 0.701 0.268
F7 0.732 0.299 0.299
F8 0.773 0.773 0.773

## CeAl2H (GGA-PBE)

Data for an optimized crystal structure of CeAl2H.

Values from the calculation:
Calculated total energy   -4.574 eV/atom
Space group   P6_3/mmc (194)

Cell lengths 4.419, 4.419, 8.115 Å; angles 90.00, 90.00, 120.00 degrees
Atoms (fractional coordinates):
Ce1 0.000 0.000 0.250
Ce2 0.000 0.000 0.750
Al1 0.333 0.667 0.005
Al2 0.333 0.667 0.495
Al3 0.667 0.333 0.505
Al4 0.667 0.333 0.995
H1 0.333 0.667 0.750
H2 0.667 0.333 0.250

## V2CrHRh (GGA-PBE)

Data for an optimized crystal structure of V2CrHRh.

Values from the calculation:
Energy relative to the lowest polymorph listed for this composition   0.000 eV/atom
Space group   P4/mmm (123)

Cell lengths 3.968, 3.968, 3.497 Å; angles 90.00, 90.00, 90.00 degrees
Atoms (fractional coordinates):
V1 0.000 0.500 0.000
V2 0.500 0.000 0.000
Cr1 0.000 0.000 0.500
H1 0.000 0.000 0.000
Rh1 0.500 0.500 0.500

## SmGeAu (GGA-PBE)

Data for an optimized crystal structure of SmGeAu.

Values from the calculation:
Space group   P3m1 (156)
Formation enthalpy at 0 K   -803.2 meV per atom

Cell lengths 4.466, 4.466, 3.876 Å; angles 90.00, 90.00, 120.00 degrees
Atoms (fractional coordinates):
Sm1 0.000 0.000 0.000
Ge1 0.667 0.333 0.528
Au1 0.333 0.667 0.483

## CaCrIr2 (GGA-PBE)

Data for an optimized crystal structure of CaCrIr2.

Values from the calculation:
Energy relative to the lowest polymorph listed for this composition   0.000 eV/atom
Space group   P4/mmm (123)
Formation enthalpy at 0 K   -128.4 meV per atom

Cell lengths 2.956, 2.956, 7.544 Å; angles 90.00, 90.00, 90.00 degrees
Atoms (fractional coordinates):
Ca1 0.000 0.000 0.000
Cr1 0.000 0.000 0.500
Ir1 0.500 0.500 0.299
Ir2 0.500 0.500 0.701

## Cs3BeMo (GGA-PBE)

Data for an optimized crystal structure of Cs3BeMo.

Values from the calculation:
Energy relative to the lowest polymorph listed for this composition   0.000 eV/atom
Space group   Pm-3m (221)
Formation enthalpy at 0 K   1518.2 meV per atom

Cell lengths 6.929, 6.929, 6.929 Å; angles 90.00, 90.00, 90.00 degrees
Atoms (fractional coordinates):
Cs1 0.000 0.000 0.500
Cs2 0.000 0.500 0.000
Cs3 0.500 0.000 0.000
Be1 0.000 0.000 0.000
Mo1 0.500 0.500 0.500

## Pu2PdC (GGA-PBE)

Data for an optimized crystal structure of Pu2PdC.

Values from the calculation:
Energy relative to the lowest polymorph listed for this composition   0.037 eV/atom
Space group   P4/mmm (123)
Formation enthalpy at 0 K   -92.4 meV per atom

Cell lengths 3.106, 3.106, 7.213 Å; angles 90.00, 90.00, 90.00 degrees
Atoms (fractional coordinates):
Pu1 0.000 0.000 0.192
Pu2 0.000 0.000 0.808
Pd1 0.500 0.500 0.500
C1 0.500 0.500 0.000

## NaPm2Gd (GGA-PBE)

Data for an optimized crystal structure of NaPm2Gd.

Values from the calculation:
Energy relative to the lowest polymorph listed for this composition   0.094 eV/atom
Space group   P4/mmm (123)
Formation enthalpy at 0 K   205.9 meV per atom

Cell lengths 5.959, 5.959, 3.750 Å; angles 90.00, 90.00, 90.00 degrees
Atoms (fractional coordinates):
Na1 0.000 0.000 0.000
Pm1 0.000 0.500 0.500
Pm2 0.500 0.000 0.500
Gd1 0.500 0.500 0.000

## Tm3Cu4Pd2 (GGA-PBE)

Data for an optimized crystal structure of Tm3Cu4Pd2.

Values from the calculation:
Space group   C2/m (12)
Formation enthalpy at 0 K   -487.3 meV per atom

Cell lengths 5.516, 5.516, 8.210 Å; angles 110.99, 110.99, 46.17 degrees
Atoms (fractional coordinates):
Tm1 0.000 0.000 0.000
Tm2 0.327 0.327 0.343
Tm3 0.673 0.673 0.657
Cu1 0.039 0.039 0.382
Cu2 0.275 0.275 0.953
Cu3 0.725 0.725 0.047
Cu4 0.961 0.961 0.618
Pd1 0.397 0.397 0.733
Pd2 0.603 0.603 0.267

Density values (in g/cm³) by entry order: 4.23; 2.74; 8.32; 7.03; 14.55; 9.84; 8.31; 10.03; 10.59; 10.38; 7.84; 7.38; 11.38; 6.50; 7.92; 6.12; 8.76; 3.84; 4.72; 7.78; 10.41; 12.00; 2.51; 14.47; 5.86; 9.74.